one | The following is a PBE calculation of an optimized crystal structure of CdSO2, from the Alexandria database.

```
CdSO2
1.0
-3.943 0.337 1.104
-2.093 3.424 -0.878
-2.947 -0.071 -2.861
S O Cd
1 2 1
Cartesian
0.000 0.000 0.000
-2.246 0.923 -0.659
-6.738 2.768 -1.977
-4.492 1.845 -1.318
```

V, Å³ per atom: 12.3

two | The following is a PBE calculation of an optimized crystal structure of CdSO2, from the Alexandria database.

```
CdSO2
1.0
1.895 0.000 6.066
-0.947 1.641 6.066
-0.947 -1.641 6.066
S O Cd
1 2 1
Cartesian
0.000 0.000 0.000
0.000 0.000 16.460
0.000 0.000 1.737
0.000 0.000 9.099
```

V, Å³ per atom: 14.1

Most stable one: two, least stable one: one.

one | The following is a PBE calculation of an optimized crystal structure of Cd3SO, from the Alexandria database.

```
Cd3SO
1.0
-2.426 -2.520 0.263
2.387 -1.789 4.888
-4.479 7.258 4.843
Cd S O
6 2 2
Cartesian
-4.521 2.555 6.188
0.976 -0.336 5.800
-0.320 -1.868 2.540
-3.208 4.076 9.479
-2.481 0.463 4.945
-3.080 3.269 2.910
-3.295 1.609 8.437
-0.364 0.696 3.317
-2.387 2.821 5.026
-1.312 -0.486 6.645
```

V, Å³ per atom: 19.4

two | The following is a PBE calculation of an optimized crystal structure of Cd3SO, from the Alexandria database.

```
Cd3SO
1.0
-4.027 2.066 1.110
-2.047 -4.173 0.340
1.145 -0.194 4.513
S O Cd
1 1 3
Cartesian
-2.465 -1.150 2.982
0.000 0.000 0.000
-1.023 -2.086 0.170
0.572 -0.097 2.257
-2.013 1.033 0.555
```

V, Å³ per atom: 20.2

Most stable one: one, least stable one: two.

one | The following is a PBE calculation of an optimized crystal structure of CdSb2O, from the Alexandria database.

```
CdSb2O
1.0
-1.564 -2.003 -4.824
5.169 0.135 -1.732
2.774 -7.452 -0.887
Sb O Cd
4 2 2
Cartesian
0.564 -2.839 -2.830
3.526 -2.288 -2.531
4.101 -6.272 -3.348
4.566 -7.241 -6.178
1.802 -0.934 -3.278
4.873 -4.125 -2.948
0.000 0.000 0.000
1.506 -5.194 -4.495
```

V, Å³ per atom: 26.1

two | The following is a PBE calculation of an optimized crystal structure of CdSb2O, from the Alexandria database.

```
CdSb2O
1.0
-0.321 -2.438 4.189
-3.875 -2.789 0.896
0.444 -4.837 0.035
Sb O Cd
2 1 1
Cartesian
-0.938 -2.516 1.280
-2.814 -7.548 3.840
0.000 0.000 0.000
-1.876 -5.032 2.560
```

V, Å³ per atom: 20.3

Most stable one: one, least stable one: two.